1.
Density functional theory data (PBE-GGA) for crystalline SbRhCl2 at its relaxed geometry.

Computed properties:
E above lowest polymorph (meV per atom): 672
Formation energy from raw total energies (meV per atom): 95
Total energy (eV/cell): -14.8

Cell lengths 9.3163, 9.3163, 9.3163 Å; angles 20.18, 20.18, 20.18 degrees
With the nearest neighbours (Å) after each atom.
Fractional coordinates of all 4 atoms:
Sb: 0.5000 0.5000 0.5000  6 Cl 2.96, 6 Sb 3.26
Cl: 0.0832 0.0832 0.0832  1 Rh 2.28
Cl: 0.9168 0.9168 0.9168  1 Rh 2.28
Rh: 0.0000 0.0000 0.0000  2 Cl 2.28

***

2.
Density functional theory data (PBE-GGA) for crystalline SbRhCl4 at its relaxed geometry.

Computed properties:
Formation energy from raw total energies (meV per atom): 903
Total energy (eV/cell): -13.4

Cell lengths 5.7235, 5.7235, 5.7235 Å; angles 60.00, 60.00, 60.00 degrees
With the nearest neighbours (Å) after each atom.
Fractional coordinates of all 6 atoms:
Cl: 0.3757 0.3757 0.3757  6 Cl 2.84-2.88
Cl: 0.3757 0.8728 0.3757  6 Cl 2.84-2.88
Cl: 0.3757 0.3757 0.8728  6 Cl 2.84-2.88
Cl: 0.8728 0.3757 0.3757  6 Cl 2.84-2.88
Rh: 0.7500 0.7500 0.7500  12 Cl 3.35, 4 Sb 3.50
Sb: 0.0000 0.0000 0.0000  12 Cl 3.36, 4 Rh 3.50

***

3.
Density functional theory data (PBE-GGA) for crystalline SbRhCl2 at its relaxed geometry.

Computed properties:
E above lowest polymorph (meV per atom): 0
Formation energy from raw total energies (meV per atom): -577
Total energy (eV/cell): -17.5

Cell lengths 3.8748, 3.8748, 8.2200 Å; angles 90.84, 90.84, 60.00 degrees
With the nearest neighbours (Å) after each atom.
Fractional coordinates of all 4 atoms:
Rh: 0.5395 0.5395 0.5239  3 Sb 2.53, 3 Cl 2.64
Cl: 0.8822 0.8822 0.9540  1 Sb 2.35
Cl: 0.2025 0.2025 0.3538  3 Rh 2.64
Sb: 0.8758 0.8758 0.6684  1 Cl 2.35, 3 Rh 2.53

***

4.
Density functional theory data (PBE-GGA) for crystalline SbRh2Cl at its relaxed geometry.

Computed properties:
E above lowest polymorph (meV per atom): 508
Formation energy from raw total energies (meV per atom): 366
Total energy (eV/cell): -19.2

Cell lengths 4.6209, 4.6209, 4.6209 Å; angles 60.00, 60.00, 60.00 degrees
With the nearest neighbours (Å) after each atom.
Fractional coordinates of all 4 atoms:
Rh: 0.2500 0.2500 0.2500  4 Rh 2.83, 4 Cl 2.83
Rh: 0.0000 0.0000 0.0000  4 Sb 2.83, 4 Rh 2.83
Cl: 0.5000 0.5000 0.5000  4 Sb 2.83, 4 Rh 2.83
Sb: 0.7500 0.7500 0.7500  4 Cl 2.83, 4 Rh 2.83

***

5.
Density functional theory data (PBE-GGA) for crystalline SbRh2Cl at its relaxed geometry.

Computed properties:
E above lowest polymorph (meV per atom): 346
Formation energy from raw total energies (meV per atom): 204
Total energy (eV/cell): -19.9

Cell lengths 3.1944, 4.6193, 4.6193 Å; angles 90.00, 90.00, 90.00 degrees
With the nearest neighbours (Å) after each atom.
Fractional coordinates of all 4 atoms:
Rh: 0.0000 0.0000 0.0000  4 Cl 2.81, 4 Sb 2.81
Rh: 0.0000 0.5000 0.5000  4 Cl 2.81, 4 Sb 2.81
Cl: 0.5000 0.0000 0.5000  8 Rh 2.81
Sb: 0.5000 0.5000 0.0000  8 Rh 2.81

***

6.
Density functional theory data (PBE-GGA) for crystalline SbRhCl2 at its relaxed geometry.

Computed properties:
E above lowest polymorph (meV per atom): 489
Formation energy from raw total energies (meV per atom): -88
Total energy (eV/cell): -15.5

Cell lengths 6.5873, 6.5873, 6.5873 Å; angles 151.77, 133.92, 54.92 degrees
With the nearest neighbours (Å) after each atom.
Fractional coordinates of all 4 atoms:
Rh: 0.7500 0.2500 0.5000  4 Cl 2.41
Sb: 0.2500 0.7500 0.5000  4 Rh 3.04, 4 Cl 3.14, 2 Sb 3.21
Cl: 0.5965 0.5965 0.0000  2 Rh 2.41
Cl: 0.9035 0.9035 0.0000  2 Rh 2.41

***

7.
Density functional theory data (PBE-GGA) for crystalline SbRhCl2 at its relaxed geometry.

Computed properties:
E above lowest polymorph (meV per atom): 953
Formation energy from raw total energies (meV per atom): 376
Total energy (eV/cell): -13.7

Cell lengths 4.2912, 4.2912, 4.3427 Å; angles 90.00, 90.00, 90.00 degrees
With the nearest neighbours (Å) after each atom.
Fractional coordinates of all 4 atoms:
Cl: 0.5000 0.5000 0.0000  4 Cl 3.03, 4 Rh 3.05, 4 Sb 3.05
Cl: 0.0000 0.0000 0.0000  4 Cl 3.03, 4 Sb 3.05, 4 Rh 3.05
Sb: 0.0000 0.5000 0.5000  4 Rh 3.03, 8 Cl 3.05
Rh: 0.5000 0.0000 0.5000  4 Sb 3.03, 8 Cl 3.05

***

8.
Density functional theory data (PBE-GGA) for crystalline SbRhCl at its relaxed geometry.

Computed properties:
E above lowest polymorph (meV per atom): 0
Formation energy from raw total energies (meV per atom): -362
Total energy (eV/cell): -57.6

Cell lengths 6.1978, 6.9137, 6.5032 Å; angles 106.71, 90.00, 90.00 degrees
With the nearest neighbours (Å) after each atom.
Fractional coordinates of all 12 atoms:
Rh: 0.4941 0.2574 0.7486  3 Sb 2.57-2.58, 3 Cl 2.59-2.69
Rh: 0.9941 0.7426 0.7514  3 Sb 2.57-2.58, 3 Cl 2.59-2.69
Rh: 0.0059 0.2574 0.2486  3 Sb 2.57-2.58, 3 Cl 2.59-2.69
Rh: 0.5059 0.7426 0.2514  3 Sb 2.57-2.58, 3 Cl 2.59-2.69
Cl: 0.3552 0.8728 0.6419  3 Rh 2.59-2.69
Cl: 0.1448 0.8728 0.1419  3 Rh 2.59-2.69
Cl: 0.8552 0.1272 0.8581  3 Rh 2.59-2.69
Cl: 0.6448 0.1272 0.3581  3 Rh 2.59-2.69
Sb: 0.8747 0.6257 0.3546  3 Rh 2.57-2.58
Sb: 0.3747 0.3743 0.1454  3 Rh 2.57-2.58
Sb: 0.1253 0.3743 0.6454  3 Rh 2.57-2.58
Sb: 0.6253 0.6257 0.8546  3 Rh 2.57-2.58

***

9.
Density functional theory data (PBE-GGA) for crystalline SbRhCl2 at its relaxed geometry.

Computed properties:
E above lowest polymorph (meV per atom): 949
Formation energy from raw total energies (meV per atom): 372
Total energy (eV/cell): -13.7

Cell lengths 4.7737, 4.7737, 4.7737 Å; angles 60.00, 60.00, 60.00 degrees
With the nearest neighbours (Å) after each atom.
Fractional coordinates of all 4 atoms:
Cl: 0.7500 0.7500 0.7500  4 Sb 2.92, 4 Rh 2.92
Cl: 0.2500 0.2500 0.2500  4 Sb 2.92, 4 Rh 2.92
Sb: 0.5000 0.5000 0.5000  8 Cl 2.92
Rh: 0.0000 0.0000 0.0000  8 Cl 2.92

***

10.
Density functional theory data (PBE-GGA) for crystalline SbRhCl2 at its relaxed geometry.

Computed properties:
E above lowest polymorph (meV per atom): 623
Formation energy from raw total energies (meV per atom): 46
Total energy (eV/cell): -15.0

Cell lengths 3.3047, 3.3047, 10.1016 Å; angles 90.00, 90.00, 121.00 degrees
With the nearest neighbours (Å) after each atom.
Fractional coordinates of all 4 atoms:
Cl: 0.0000 0.0000 0.0817  2 Rh 2.35
Cl: 0.0000 0.0000 0.4183  2 Rh 2.35
Rh: 0.5000 0.5000 0.2500  4 Cl 2.35
Sb: 0.5000 0.5000 0.7500  6 Sb 3.25-3.30

***

11.
Density functional theory data (PBE-GGA) for crystalline SbRhCl2 at its relaxed geometry.

Computed properties:
E above lowest polymorph (meV per atom): 617
Formation energy from raw total energies (meV per atom): 40
Total energy (eV/cell): -15.0

Cell lengths 8.6377, 8.6377, 8.6377 Å; angles 24.23, 24.23, 24.23 degrees
With the nearest neighbours (Å) after each atom.
Fractional coordinates of all 4 atoms:
Rh: 0.5000 0.5000 0.5000  6 Cl 2.55
Cl: 0.8910 0.8910 0.8910  3 Rh 2.55, 1 Sb 2.74
Cl: 0.1090 0.1090 0.1090  3 Rh 2.55, 1 Sb 2.74
Sb: 0.0000 0.0000 0.0000  2 Cl 2.74

***

12.
Density functional theory data (PBE-GGA) for crystalline SbRhCl at its relaxed geometry.

Computed properties:
E above lowest polymorph (meV per atom): 66
Formation energy from raw total energies (meV per atom): -296
Total energy (eV/cell): -14.2

Cell lengths 3.7958, 3.7958, 5.4453 Å; angles 90.00, 90.00, 120.00 degrees
With the nearest neighbours (Å) after each atom.
Fractional coordinates of all 3 atoms:
Rh: 0.3333 0.6667 0.3494  3 Sb 2.55, 3 Cl 2.69
Cl: 0.0000 0.0000 0.0626  3 Rh 2.69
Sb: 0.6667 0.3333 0.5880  3 Rh 2.55

***

- Look up the formation energy from raw total energies of the twelfth one.
  -296 meV per atom

***

- What is the total energy in the eighth record?
  -57.6 eV/cell

***

- What is the formation energy from raw total energies in the ninth record?
  372 meV per atom

***

- Among the records above, which one has the highest formation energy from raw total energies?
  SbRhCl4